LaReTc2 | GGA-PBEsol | relaxed

Cell: 4.5782 4.5782 4.5782 Å, 60.00 60.00 60.00°
With the nearest neighbours (Å) after each atom.
Sites, in units of the cell vectors:
La 0.0000 0.0000 0.0000  4 Tc 2.80, 4 Re 2.80
Re 0.2500 0.2500 0.2500  4 La 2.80, 4 Tc 2.80
Tc 0.5000 0.5000 0.5000  4 Tc 2.80, 4 Re 2.80
Tc 0.7500 0.7500 0.7500  4 Tc 2.80, 4 La 2.80

space-group type = F-43m (216)
E = -9.7320 eV per atom
theoretical density = 12.753 g/cm3
DFT formation energy = 0.57 eV/atom

***

LaReTc2 | GGA-PBEsol | relaxed

Cell: 2.8113 2.8113 9.3832 Å, 90.00 90.00 114.36°
With the nearest neighbours (Å) after each atom.
Sites, in units of the cell vectors:
La 0.0000 0.0000 0.0000  6 La 2.81-3.05, 2 Tc 3.00, 2 Re 3.06
Re 0.5000 0.5000 0.7172  2 Tc 2.58, 4 Re 2.81
Tc 0.0000 0.0000 0.4947  6 Tc 2.56-2.81, 2 Re 2.58
Tc 0.5000 0.5000 0.2755  6 Tc 2.56-2.81

space-group type = Cmm2 (35)
E = -9.7489 eV per atom
theoretical density = 12.809 g/cm3
DFT formation energy = 0.55 eV/atom

***

LaReTc2 | GGA-PBEsol | relaxed

Cell: 5.2765 5.2765 2.8207 Å, 101.48 101.48 112.82°
With the nearest neighbours (Å) after each atom.
Sites, in units of the cell vectors:
La 0.0000 0.0000 0.0000  4 Tc 2.73, 2 La 2.82, 2 Re 2.92
Re 0.5000 0.5000 0.0000  4 Tc 2.73, 2 Re 2.82, 2 La 2.92
Tc 0.0000 0.5000 0.5000  2 Re 2.73, 2 La 2.73, 4 Tc 2.82-2.92
Tc 0.5000 0.0000 0.5000  2 Re 2.73, 2 La 2.73, 4 Tc 2.82-2.92

space-group type = C2/m (12)
E = -9.6887 eV per atom
theoretical density = 12.813 g/cm3
DFT formation energy = 0.61 eV/atom

***

- What is the E in the third record?
  -9.6887 eV per atom

***

Repeat the second record exactly.
LaReTc2 | GGA-PBEsol | relaxed

Cell: 2.8113 2.8113 9.3832 Å, 90.00 90.00 114.36°
With the nearest neighbours (Å) after each atom.
Sites, in units of the cell vectors:
La 0.0000 0.0000 0.0000  6 La 2.81-3.05, 2 Tc 3.00, 2 Re 3.06
Re 0.5000 0.5000 0.7172  2 Tc 2.58, 4 Re 2.81
Tc 0.0000 0.0000 0.4947  6 Tc 2.56-2.81, 2 Re 2.58
Tc 0.5000 0.5000 0.2755  6 Tc 2.56-2.81

space-group type = Cmm2 (35)
E = -9.7489 eV per atom
theoretical density = 12.809 g/cm3
DFT formation energy = 0.55 eV/atom

***

- The highest DFT formation energy belongs to which entry?
  number 3

***

- theoretical density of number 2 (LaReTc2)?
  12.809 g/cm3